SiPIr: relaxed, PBE-GGA.

```
3
Lattice="4.343 0.000 0.000 -2.171 3.761 0.000 0.000 0.000 2.701" Properties=species:S:1:pos:R:3 pbc="T T T"
Ir 0.000 0.000 2.700
P 2.171 1.254 2.693
Si 0.000 2.507 0.010
```

Properties
Raw formation energy, eV per atom: 0.018
Calculated total energy, eV per atom: -6.5468
Crystal system: trigonal